(1)
A relaxed NaSmAg4 crystal. Source: Alexandria, functional PBE.

Computed properties:
Its raw total energy is -3.014 eV per atom. As for the space-group type: No. 216.

a b c (Å): 5.688 5.688 5.688
angles (deg): 60.00 60.00 60.00
Atoms (fractional coordinates):
1 Na 0.000 0.000 0.000
2 Sm 0.250 0.250 0.250
3 Ag 0.123 0.626 0.626
4 Ag 0.626 0.123 0.626
5 Ag 0.626 0.626 0.123
6 Ag 0.626 0.626 0.626

---

(2)
A relaxed PrSmBr4 crystal. Source: Alexandria, functional PBE.

Computed properties:
Its raw total energy is -4.295 eV per atom. As for the space-group type: No. 119. Its relative energy among the computed polymorphs is 0.0381 eV/atom. The value obtained for the formation energy from raw total energies is -1.60 eV per atom.

a b c (Å): 7.063 7.063 7.063
angles (deg): 130.97 130.97 71.86
Atoms (fractional coordinates):
1 Pr 0.000 0.000 0.000
2 Sm 0.250 0.750 0.500
3 Br 0.266 0.266 0.000
4 Br 0.511 0.011 0.500
5 Br 0.734 0.734 0.000
6 Br 0.989 0.489 0.500

---

(3)
A relaxed Ce3Pu3Cd crystal. Source: Alexandria, functional PBE.

Computed properties:
Its raw total energy is -7.904 eV per atom. As for the space-group type: No. 223.

a b c (Å): 7.465 7.465 7.465
angles (deg): 90.00 90.00 90.00
Atoms (fractional coordinates):
1 Ce 0.000 0.250 0.500
2 Ce 0.000 0.750 0.500
3 Ce 0.250 0.500 0.000
4 Ce 0.500 0.000 0.250
5 Ce 0.500 0.000 0.750
6 Ce 0.750 0.500 0.000
7 Pu 0.000 0.500 0.250
8 Pu 0.000 0.500 0.750
9 Pu 0.250 0.000 0.500
10 Pu 0.500 0.250 0.000
11 Pu 0.500 0.750 0.000
12 Pu 0.750 0.000 0.500
13 Cd 0.000 0.000 0.000
14 Cd 0.500 0.500 0.500

---

(4)
A relaxed BeRuBr2 crystal. Source: Alexandria, functional PBE.

Computed properties:
Its raw total energy is -3.159 eV per atom. As for the space-group type: No. 65. Its relative energy among the computed polymorphs is 0.9309 eV/atom. The value obtained for the formation energy from raw total energies is 0.93 eV per atom.

a b c (Å): 4.581 4.581 3.175
angles (deg): 90.00 90.00 90.11
Atoms (fractional coordinates):
1 Be 0.000 0.000 0.000
2 Ru 0.500 0.500 0.000
3 Br 0.000 0.500 0.500
4 Br 0.500 0.000 0.500